This record from the Alexandria database describes an optimized crystal structure of Tb3Ho5Tm. The functional is PBE.

The structure in extended XYZ format:
```
18
Lattice="8.956 -3.139 0.000 8.956 3.139 0.000 -4.167 0.000 10.554" Properties=species:S:1:pos:R:3 pbc="T T T"
Tb 0.000 0.000 0.000
Tb -2.084 0.000 5.277
Tb 3.296 2.020 6.589
Tb 8.365 2.020 9.242
Tb 5.380 -2.020 1.312
Tb 10.449 -2.020 3.965
Ho 4.726 1.321 3.019
Ho 2.005 1.178 10.418
Ho 5.831 0.653 7.915
Ho 11.102 1.321 2.258
Ho 9.656 1.178 5.413
Ho 4.088 -1.178 5.141
Ho 2.643 -1.321 8.295
Ho 7.914 -0.653 2.638
Ho 11.740 -1.178 0.136
Ho 9.019 -1.321 7.535
Tm 7.914 2.361 2.638
Tm 5.831 -2.361 7.915
```

Values from the calculation:
The value obtained for the total magnetization is 0.00 μB per formula unit. Its energy above the most stable polymorph in this dataset is 0 meV per atom. For the formation enthalpy at 0 K, the calculation gives 0.300 eV per atom. For the raw total energy, the calculation gives -77.101 eV/cell.